Entry 1:
A plane-wave DFT calculation with PBE-GGA was carried out for Sr3Tb3SmTe8 after structural relaxation.

Lattice parameters (Å, degrees): 8.9200 8.9208 9.2019 119.00 90.00 120.00
With the nearest neighbours (Å) after each atom.
Fractional coordinates of all 15 atoms:
Sr1 0.0000 0.0000 0.0000  6 Te 3.29-3.30
Sr2 0.0000 0.5000 0.0000  6 Te 3.29-3.30
Sr3 0.5000 0.5000 0.0000  6 Te 3.29-3.30
Tb1 0.5000 0.0000 0.5000  6 Te 3.11-3.12
Tb2 0.5000 0.5000 0.5000  6 Te 3.11-3.12
Tb3 0.0000 0.5000 0.5000  6 Te 3.11-3.12
Sm1 0.0000 0.0000 0.5000  6 Te 3.19
Te1 0.2560 0.5120 0.2680  3 Tb 3.12, 3 Sr 3.29
Te2 0.7440 0.4880 0.7320  3 Tb 3.12, 3 Sr 3.29
Te3 0.7509 0.5019 0.2652  2 Tb 3.11, 1 Sm 3.19, 2 Sr 3.30
Te4 0.2491 0.4981 0.7348  2 Tb 3.11, 1 Sm 3.19, 2 Sr 3.30
Te5 0.7511 0.0144 0.2657  2 Tb 3.11, 1 Sm 3.19, 2 Sr 3.30
Te6 0.2489 0.9856 0.7343  2 Tb 3.11, 1 Sm 3.19, 2 Sr 3.30
Te7 0.2634 0.0144 0.2657  2 Tb 3.11, 1 Sm 3.19, 2 Sr 3.30
Te8 0.7366 0.9856 0.7343  2 Tb 3.11, 1 Sm 3.19, 2 Sr 3.30

Computed properties:
* uncorrected energy: -71.69 eV for the cell shown
* space-group type: R-3m

=====

Entry 2:
A plane-wave DFT calculation with PBE-GGA was carried out for SrSm2Tc after structural relaxation.

Lattice parameters (Å, degrees): 3.5753 3.5753 9.8962 90.00 90.00 90.00
With the nearest neighbours (Å) after each atom.
Fractional coordinates of all 4 atoms:
Sr1 0.5000 0.5000 0.5000  4 Sr 3.58
Tc1 0.5000 0.5000 0.0000  8 Sm 3.02
Sm1 0.0000 0.0000 0.8338  4 Tc 3.02, 1 Sm 3.29
Sm2 0.0000 0.0000 0.1662  4 Tc 3.02, 1 Sm 3.29

Computed properties:
* energy of formation from the pure elements: 0.103 eV/atom
* uncorrected energy: -21.07 eV for the cell shown
* energy relative to the lowest polymorph listed for this composition: 0.0 meV per atom
* space-group type: P4/mmm

=====

Entry 3:
A plane-wave DFT calculation with PBE-GGA was carried out for SrSm2Tc after structural relaxation.

Lattice parameters (Å, degrees): 3.6903 3.6903 11.3626 80.65 80.65 60.00
With the nearest neighbours (Å) after each atom.
Fractional coordinates of all 4 atoms:
Sr1 0.0000 0.0000 0.0000  2 Sm 3.65, 6 Sr 3.69
Tc1 0.5000 0.5000 0.5000  6 Sm 2.88
Sm1 0.1089 0.1089 0.6733  3 Tc 2.88
Sm2 0.8911 0.8911 0.3267  3 Tc 2.88

Computed properties:
* energy of formation from the pure elements: 0.361 eV/atom
* uncorrected energy: -20.04 eV for the cell shown
* energy relative to the lowest polymorph listed for this composition: 258.2 meV per atom
* space-group type: R-3m

=====

Entry 4:
A plane-wave DFT calculation with PBE-GGA was carried out for Sr2SmTe4 after structural relaxation.

Lattice parameters (Å, degrees): 4.3720 8.3260 15.1264 90.00 90.00 105.22
With the nearest neighbours (Å) after each atom.
Fractional coordinates of all 14 atoms:
Sr1 0.1341 0.2682 0.4255  6 Te 3.27-3.34
Sr2 0.8659 0.7318 0.9255  6 Te 3.27-3.34
Sr3 0.1341 0.2682 0.0745  6 Te 3.27-3.34
Sr4 0.8659 0.7318 0.5745  6 Te 3.27-3.34
Sm1 0.6268 0.2536 0.7500  6 Te 3.14-3.22
Sm2 0.3732 0.7464 0.2500  6 Te 3.14-3.22
Te1 0.7835 0.5669 0.1263  2 Sm 3.22, 3 Sr 3.31-3.34
Te2 0.7835 0.5669 0.3737  2 Sm 3.22, 3 Sr 3.31-3.34
Te3 0.2165 0.4331 0.8737  2 Sm 3.22, 3 Sr 3.31-3.34
Te4 0.2165 0.4331 0.6263  2 Sm 3.22, 3 Sr 3.31-3.34
Te5 0.9862 0.9724 0.7500  2 Sm 3.14, 2 Sr 3.28
Te6 0.0138 0.0276 0.2500  2 Sm 3.14, 2 Sr 3.28
Te7 0.5000 0.0000 0.0000  4 Sr 3.27
Te8 0.5000 0.0000 0.5000  4 Sr 3.27

Computed properties:
* uncorrected energy: -60.07 eV for the cell shown
* space-group type: Cmcm

=====

Entry 5:
A plane-wave DFT calculation with PBE-GGA was carried out for Sr3Sm4Te8 after structural relaxation.

Lattice parameters (Å, degrees): 9.0364 9.1018 9.1018 90.15 119.58 119.58
With the nearest neighbours (Å) after each atom.
Fractional coordinates of all 15 atoms:
Sr1 0.5000 0.5000 0.0000  6 Te 3.21-3.23
Sr2 0.5000 0.0000 0.5000  6 Te 3.21-3.23
Sr3 0.5000 0.5000 0.5000  6 Te 3.28-3.30
Sm1 0.5000 0.0000 0.0000  6 Te 3.13-3.17
Sm2 0.0000 0.5000 0.0000  6 Te 3.21-3.23
Sm3 0.0000 0.0000 0.0000  6 Te 3.17-3.21
Sm4 0.0000 0.0000 0.5000  6 Te 3.21-3.23
Te1 0.4902 0.2389 0.2389  2 Sm 3.13-3.17, 3 Sr 3.22-3.30
Te2 0.0000 0.7519 0.2481  3 Sm 3.20-3.21, 2 Sr 3.23
Te3 0.9902 0.2451 0.2451  4 Sm 3.17-3.22, 1 Sr 3.29
Te4 0.5000 0.7544 0.2456  3 Sm 3.17-3.23, 3 Sr 3.21-3.28
Te5 0.5000 0.2456 0.7544  3 Sm 3.17-3.23, 3 Sr 3.21-3.28
Te6 0.0098 0.7549 0.7549  4 Sm 3.17-3.22, 1 Sr 3.29
Te7 0.0000 0.2481 0.7519  3 Sm 3.20-3.21, 2 Sr 3.23
Te8 0.5098 0.7611 0.7611  2 Sm 3.13-3.17, 3 Sr 3.22-3.30

Computed properties:
* uncorrected energy: -71.95 eV for the cell shown
* space-group type: C2/m

=====

Entry 6:
A plane-wave DFT calculation with PBE-GGA was carried out for SrSmTe2 after structural relaxation.

Lattice parameters (Å, degrees): 3.9353 3.9353 7.9803 90.00 90.00 90.00
With the nearest neighbours (Å) after each atom.
Fractional coordinates of all 4 atoms:
Sr1 0.5000 0.5000 0.5000  8 Te 3.50
Te1 0.0000 0.0000 0.7659  4 Sm 3.35, 4 Sr 3.50, 1 Te 3.74
Te2 0.0000 0.0000 0.2341  4 Sm 3.35, 4 Sr 3.50, 1 Te 3.74
Sm1 0.5000 0.5000 0.0000  8 Te 3.35

Computed properties:
* uncorrected energy: -18.12 eV for the cell shown
* energy relative to the lowest polymorph listed for this composition: 176.2 meV per atom
* space-group type: P4/mmm

=====

Entry 7:
A plane-wave DFT calculation with PBE-GGA was carried out for SrSm2Te after structural relaxation.

Lattice parameters (Å, degrees): 4.0727 4.0727 11.4165 79.73 79.73 60.00
With the nearest neighbours (Å) after each atom.
Fractional coordinates of all 4 atoms:
Sr1 0.0000 0.0000 0.0000  2 Sm 3.63
Te1 0.5000 0.5000 0.5000  6 Sm 3.06
Sm1 0.1084 0.1084 0.6749  3 Te 3.06
Sm2 0.8916 0.8916 0.3251  3 Te 3.06

Computed properties:
* uncorrected energy: -15.78 eV for the cell shown
* space-group type: R-3m

=====

Entry 8:
A plane-wave DFT calculation with PBE-GGA was carried out for SrSm2Te3 after structural relaxation.

Lattice parameters (Å, degrees): 4.4999 6.3979 7.8701 113.98 106.61 90.00
With the nearest neighbours (Å) after each atom.
Fractional coordinates of all 6 atoms:
Sr1 0.5000 0.5000 0.5000  6 Te 3.20-3.26
Sm1 0.8373 0.8373 0.1747  6 Te 3.16-3.20
Sm2 0.1627 0.1627 0.8253  6 Te 3.16-3.20
Te1 0.8270 0.3270 0.1540  4 Sm 3.18-3.20, 2 Sr 3.26
Te2 0.1730 0.6730 0.8460  4 Sm 3.18-3.20, 2 Sr 3.26
Te3 0.5000 0.0000 0.5000  4 Sm 3.16, 2 Sr 3.20

Computed properties:
* uncorrected energy: -29.38 eV for the cell shown
* space-group type: Immm

=====

Entry 9:
A plane-wave DFT calculation with PBE-GGA was carried out for SrSmTe4 after structural relaxation.

Lattice parameters (Å, degrees): 6.9946 6.9946 8.1517 90.00 90.00 90.00
With the nearest neighbours (Å) after each atom.
Fractional coordinates of all 12 atoms:
Sr1 0.5000 0.5000 0.5000  8 Te 3.45
Sr2 0.0000 0.0000 0.5000  8 Te 3.45
Sm1 0.5000 0.5000 0.0000  8 Te 3.26
Sm2 0.0000 0.0000 0.0000  8 Te 3.26
Te1 0.6513 0.8487 0.2306  1 Te 2.99, 2 Sm 3.26
Te2 0.1513 0.6513 0.2306  1 Te 2.99, 2 Sm 3.26
Te3 0.8487 0.3487 0.2306  1 Te 2.99, 2 Sm 3.26
Te4 0.6513 0.1513 0.7694  1 Te 2.99, 2 Sm 3.26
Te5 0.3487 0.8487 0.7694  1 Te 2.99, 2 Sm 3.26
Te6 0.3487 0.1513 0.2306  1 Te 2.99, 2 Sm 3.26
Te7 0.8487 0.6513 0.7694  1 Te 2.99, 2 Sm 3.26
Te8 0.1513 0.3487 0.7694  1 Te 2.99, 2 Sm 3.26

Computed properties:
* uncorrected energy: -51.12 eV for the cell shown
* space-group type: P4/nbm

=====

Entry 10:
A plane-wave DFT calculation with PBE-GGA was carried out for SrSm5Te8 after structural relaxation.

Lattice parameters (Å, degrees): 9.3166 9.3166 9.3166 60.00 60.00 60.00
With the nearest neighbours (Å) after each atom.
Fractional coordinates of all 14 atoms:
Sr1 0.2500 0.2500 0.2500  4 Te 3.13
Sm1 0.0000 0.0000 0.0000  4 Te 3.03
Sm2 0.6234 0.6234 0.1299  6 Te 3.12-3.22
Sm3 0.6234 0.6234 0.6234  6 Te 3.12-3.22
Sm4 0.1299 0.6234 0.6234  6 Te 3.12-3.22
Sm5 0.6234 0.1299 0.6234  6 Te 3.12-3.22
Te1 0.3871 0.8387 0.3871  3 Sm 3.12, 1 Sr 3.13
Te2 0.8387 0.3871 0.3871  3 Sm 3.12, 1 Sr 3.13
Te3 0.3871 0.3871 0.3871  3 Sm 3.12, 1 Sr 3.13
Te4 0.3871 0.3871 0.8387  3 Sm 3.12, 1 Sr 3.13
Te5 0.8672 0.8672 0.3983  4 Sm 3.03-3.22
Te6 0.3983 0.8672 0.8672  4 Sm 3.03-3.22
Te7 0.8672 0.8672 0.8672  4 Sm 3.03-3.22
Te8 0.8672 0.3983 0.8672  4 Sm 3.03-3.22

Computed properties:
* uncorrected energy: -69.26 eV for the cell shown
* space-group type: F-43m

=====

Entry 11:
A plane-wave DFT calculation with PBE-GGA was carried out for Sr3Sm5Te12 after structural relaxation.

Lattice parameters (Å, degrees): 16.2756 16.2756 16.2756 109.47 109.47 109.47
With the nearest neighbours (Å) after each atom.
Fractional coordinates of all 80 atoms:
Sr1 0.7500 0.3750 0.1250  8 Te 3.41-3.68
Sr2 0.8750 0.7500 0.1250  8 Te 3.41-3.68
Sr3 0.3750 0.7500 0.6250  8 Te 3.41-3.68
Sr4 0.2500 0.1250 0.3750  8 Te 3.41-3.68
Sr5 0.8750 0.1250 0.2500  8 Te 3.41-3.68
Sr6 0.3750 0.6250 0.2500  8 Te 3.41-3.68
Sr7 0.6250 0.3750 0.7500  8 Te 3.41-3.68
Sr8 0.1250 0.8750 0.7500  8 Te 3.41-3.68
Sr9 0.7500 0.8750 0.6250  8 Te 3.41-3.68
Sr10 0.6250 0.2500 0.3750  8 Te 3.41-3.68
Sr11 0.1250 0.2500 0.8750  8 Te 3.41-3.68
Sr12 0.2500 0.6250 0.8750  8 Te 3.41-3.68
Sm1 0.1250 0.3750 0.2500  4 Te 2.97
Sm2 0.0000 0.5000 0.0000  6 Te 3.15
Sm3 0.0000 0.0000 0.0000  6 Te 3.15
Sm4 0.3750 0.2500 0.1250  4 Te 2.97
Sm5 0.5000 0.0000 0.5000  6 Te 3.15
Sm6 0.5000 0.5000 0.0000  6 Te 3.15
Sm7 0.1250 0.7500 0.3750  4 Te 2.97
Sm8 0.7500 0.1250 0.8750  4 Te 2.97
Sm9 0.7500 0.6250 0.3750  4 Te 2.97
Sm10 0.3750 0.1250 0.7500  4 Te 2.97
Sm11 0.6250 0.8750 0.2500  4 Te 2.97
Sm12 0.5000 0.5000 0.5000  6 Te 3.15
Sm13 0.5000 0.0000 0.0000  6 Te 3.15
Sm14 0.0000 0.0000 0.5000  6 Te 3.15
Sm15 0.2500 0.3750 0.6250  4 Te 2.97
Sm16 0.2500 0.8750 0.1250  4 Te 2.97
Sm17 0.0000 0.5000 0.5000  6 Te 3.15
Sm18 0.8750 0.2500 0.6250  4 Te 2.97
Sm19 0.6250 0.7500 0.8750  4 Te 2.97
Sm20 0.8750 0.6250 0.7500  4 Te 2.97
Te1 0.7210 0.1222 0.0451  2 Sm 2.97-3.15
Te2 0.3241 0.5451 0.4229  2 Sm 2.97-3.15
Te3 0.9549 0.3778 0.2790  2 Sm 2.97-3.15
Te4 0.5451 0.2210 0.1222  2 Sm 2.97-3.15
Te5 0.5988 0.7210 0.6759  2 Sm 2.97-3.15
Te6 0.9549 0.5771 0.1759  2 Sm 2.97-3.15
Te7 0.3241 0.7790 0.4012  2 Sm 2.97-3.15
Te8 0.0771 0.9012 0.1222  2 Sm 2.97-3.15
Te9 0.5771 0.9549 0.6759  2 Sm 2.97-3.15
Te10 0.7210 0.5988 0.1759  2 Sm 2.97-3.15
Te11 0.7790 0.4549 0.3778  2 Sm 2.97-3.15
Te12 0.8241 0.9229 0.0451  2 Sm 2.97-3.15
Te13 0.1222 0.7210 0.5451  2 Sm 2.97-3.15
Te14 0.3778 0.4229 0.0988  2 Sm 2.97-3.15
Te15 0.0988 0.9229 0.3778  2 Sm 2.97-3.15
Te16 0.4012 0.1222 0.5771  2 Sm 2.97-3.15
Te17 0.0988 0.1759 0.2210  2 Sm 2.97-3.15
Te18 0.4549 0.6759 0.0771  2 Sm 2.97-3.15
Te19 0.8241 0.9012 0.2790  2 Sm 2.97-3.15
Te20 0.1222 0.4012 0.0771  2 Sm 2.97-3.15
Te21 0.3778 0.9549 0.7790  2 Sm 2.97-3.15
Te22 0.5771 0.6222 0.4012  2 Sm 2.97-3.15
Te23 0.9229 0.8241 0.5451  2 Sm 2.97-3.15
Te24 0.7790 0.3241 0.9012  2 Sm 2.97-3.15
Te25 0.4229 0.3778 0.5988  2 Sm 2.97-3.15
Te26 0.0771 0.1759 0.4549  2 Sm 2.97-3.15
Te27 0.2210 0.6759 0.0988  2 Sm 2.97-3.15
Te28 0.1759 0.0988 0.7210  2 Sm 2.97-3.15
Te29 0.6222 0.0451 0.2210  2 Sm 2.97-3.15
Te30 0.8778 0.5988 0.9229  2 Sm 2.97-3.15
Te31 0.5451 0.3241 0.9229  2 Sm 2.97-3.15
Te32 0.5988 0.8778 0.4229  2 Sm 2.97-3.15
Te33 0.9012 0.8241 0.7790  2 Sm 2.97-3.15
Te34 0.9012 0.0771 0.6222  2 Sm 2.97-3.15
Te35 0.8778 0.2790 0.4549  2 Sm 2.97-3.15
Te36 0.1759 0.0771 0.9549  2 Sm 2.97-3.15
Te37 0.6222 0.5771 0.9012  2 Sm 2.97-3.15
Te38 0.4229 0.0451 0.3241  2 Sm 2.97-3.15
Te39 0.2790 0.4012 0.8241  2 Sm 2.97-3.15
Te40 0.2210 0.5451 0.6222  2 Sm 2.97-3.15
Te41 0.9229 0.0988 0.8778  2 Sm 2.97-3.15
Te42 0.6759 0.2210 0.5988  2 Sm 2.97-3.15
Te43 0.4549 0.7790 0.8778  2 Sm 2.97-3.15
Te44 0.0451 0.4229 0.8241  2 Sm 2.97-3.15
Te45 0.4012 0.2790 0.3241  2 Sm 2.97-3.15
Te46 0.0451 0.6222 0.7210  2 Sm 2.97-3.15
Te47 0.6759 0.4549 0.5771  2 Sm 2.97-3.15
Te48 0.2790 0.8778 0.9549  2 Sm 2.97-3.15

Computed properties:
* uncorrected energy: -356.34 eV for the cell shown
* space-group type: Ia-3d

=====

Entry 12:
A plane-wave DFT calculation with PBE-GGA was carried out for SrSm2Te4 after structural relaxation.

Lattice parameters (Å, degrees): 9.2355 9.0994 9.0994 60.23 59.50 59.50
With the nearest neighbours (Å) after each atom.
Fractional coordinates of all 14 atoms:
Sr1 0.5000 0.5000 0.0000  6 Te 3.27-3.32
Sr2 0.0000 0.5000 0.0000  6 Te 3.27-3.32
Sm1 0.0000 0.0000 0.0000  6 Te 3.17-3.20
Sm2 0.0000 0.0000 0.5000  6 Te 3.11-3.17
Sm3 0.0000 0.5000 0.5000  6 Te 3.17-3.20
Sm4 0.5000 0.0000 0.5000  6 Te 3.11-3.17
Te1 0.2506 0.2375 0.2613  3 Sm 3.17-3.20, 2 Sr 3.32
Te2 0.7494 0.2387 0.2625  3 Sm 3.17-3.20, 2 Sr 3.32
Te3 0.2506 0.7613 0.7375  3 Sm 3.17-3.20, 2 Sr 3.32
Te4 0.7494 0.7625 0.7387  3 Sm 3.17-3.20, 2 Sr 3.32
Te5 0.7564 0.7563 0.2563  3 Sm 3.11-3.17, 1 Sr 3.27
Te6 0.7690 0.2437 0.7437  3 Sm 3.11-3.17, 1 Sr 3.27
Te7 0.2310 0.7563 0.2563  3 Sm 3.11-3.17, 1 Sr 3.27
Te8 0.2436 0.2437 0.7437  3 Sm 3.11-3.17, 1 Sr 3.27

Computed properties:
* uncorrected energy: -68.43 eV for the cell shown
* energy relative to the lowest polymorph listed for this composition: 0.0 meV per atom
* space-group type: Imma